# 1
Here is a geometry-optimized CrGa2SbOs structure from the Alexandria database. Energies are from PBE-GGA.

Unit cell a=5.1060 b=5.1060 c=5.0129 alpha=90.00 beta=90.00 gamma=90.00
Last column: nearest neighbours and their distance in Å.
Space group P4/mmm (No. 123)
Asymmetric unit:
1 Cr 0.0000 0.0000 0.0000 (multiplicity 1)  2 Sb 2.51
2 Ga 0.0000 0.5000 0.5000 (multiplicity 2)  2 Sb 2.55
3 Sb 0.0000 0.0000 0.5000 (multiplicity 1)  2 Cr 2.51, 4 Ga 2.55
4 Os 0.5000 0.5000 0.0000 (multiplicity 1)  8 Ga 3.58, 4 Cr 3.61

Values from the calculation:
Uncorrected formation energy in eV/f.u.: 9.1


# 2
Here is a geometry-optimized Sr2CrGaOs structure from the Alexandria database. Energies are from PBE-GGA.

Unit cell a=5.8818 b=5.8818 c=4.5932 alpha=90.00 beta=90.00 gamma=90.00
Last column: nearest neighbours and their distance in Å.
Space group P4/mmm (No. 123)
Asymmetric unit:
1 Sr 0.0000 0.5000 0.0000 (multiplicity 2)  2 Os 2.94
2 Cr 0.0000 0.0000 0.5000 (multiplicity 1)  2 Os 2.30
3 Ga 0.5000 0.5000 0.5000 (multiplicity 1)  8 Sr 3.73, 4 Cr 4.16
4 Os 0.0000 0.0000 0.0000 (multiplicity 1)  2 Cr 2.30


| no. | E (eV/atom) |
| --- | --- |
| 1 | -4.382 |
| 2 | -4.843 |